[1]
# ScOsPb2 (PBE, optimized geometry)
# energy relative to the elements	545.3	meV per atom
# E	-0.4189	Ry per atom
# magnetic moment	0.000	μB per formula unit
# ΔE to the lowest computed polymorph	510.4	meV/atom
data_ScOsPb2
_cell_length_a 3.2888
_cell_length_b 3.2888
_cell_length_c 9.3912
_cell_angle_alpha 90.00
_cell_angle_beta 90.00
_cell_angle_gamma 117.61
_space_group_name_H-M_alt 'P 1'
_space_group_IT_number 1
loop_
_space_group_symop_operation_xyz
'x,y,z'
loop_
_atom_site_label
_atom_site_type_symbol
_atom_site_fract_x
_atom_site_fract_y
_atom_site_fract_z
Sc1 Sc 0.0000 0.0000 0.0000
Os1 Os 0.0000 0.0000 0.5000
Pb1 Pb 0.5000 0.5000 0.2683
Pb2 Pb 0.5000 0.5000 0.7317


[2]
# ScOsPb2 (PBE, optimized geometry)
# energy relative to the elements	208.5	meV per atom
# E	-0.4436	Ry per atom
# magnetic moment	0.000	μB per formula unit
# ΔE to the lowest computed polymorph	173.6	meV/atom
data_ScOsPb2
_cell_length_a 10.1638
_cell_length_b 10.1638
_cell_length_c 10.1638
_cell_angle_alpha 18.75
_cell_angle_beta 18.75
_cell_angle_gamma 18.75
_space_group_name_H-M_alt 'P 1'
_space_group_IT_number 1
loop_
_space_group_symop_operation_xyz
'x,y,z'
loop_
_atom_site_label
_atom_site_type_symbol
_atom_site_fract_x
_atom_site_fract_y
_atom_site_fract_z
Sc1 Sc 0.0000 0.0000 0.0000
Os1 Os 0.2716 0.2716 0.2716
Pb1 Pb 0.5305 0.5305 0.5305
Pb2 Pb 0.7590 0.7590 0.7590


[3]
# ScOsPb2 (PBE, optimized geometry)
# energy relative to the elements	407.3	meV per atom
# E	-0.4290	Ry per atom
# magnetic moment	0.000	μB per formula unit
# ΔE to the lowest computed polymorph	372.4	meV/atom
data_ScOsPb2
_cell_length_a 5.1042
_cell_length_b 3.4612
_cell_length_c 5.2042
_cell_angle_alpha 90.00
_cell_angle_beta 108.78
_cell_angle_gamma 90.00
_space_group_name_H-M_alt 'P 1'
_space_group_IT_number 1
loop_
_space_group_symop_operation_xyz
'x,y,z'
loop_
_atom_site_label
_atom_site_type_symbol
_atom_site_fract_x
_atom_site_fract_y
_atom_site_fract_z
Sc1 Sc 0.0000 0.0000 0.0000
Os1 Os 0.0000 0.5000 0.5000
Pb1 Pb 0.5000 0.0000 0.5000
Pb2 Pb 0.5000 0.5000 0.0000


[4]
# Sc5Os4Pb (PBE, optimized geometry)
# energy relative to the elements	-379.5	meV per atom
# E	-0.6180	Ry per atom
# magnetic moment	0.000	μB per formula unit
data_Sc5Os4Pb
_cell_length_a 3.2627
_cell_length_b 3.2627
_cell_length_c 17.0957
_cell_angle_alpha 90.00
_cell_angle_beta 90.00
_cell_angle_gamma 90.00
_space_group_name_H-M_alt 'P 1'
_space_group_IT_number 1
loop_
_space_group_symop_operation_xyz
'x,y,z'
loop_
_atom_site_label
_atom_site_type_symbol
_atom_site_fract_x
_atom_site_fract_y
_atom_site_fract_z
Sc1 Sc 0.0000 0.0000 0.0000
Sc2 Sc 0.0000 0.0000 0.1845
Sc3 Sc 0.0000 0.0000 0.3669
Sc4 Sc 0.0000 0.0000 0.6331
Sc5 Sc 0.0000 0.0000 0.8155
Os1 Os 0.5000 0.5000 0.0931
Os2 Os 0.5000 0.5000 0.2813
Os3 Os 0.5000 0.5000 0.7187
Os4 Os 0.5000 0.5000 0.9069
Pb1 Pb 0.5000 0.5000 0.5000


[5]
# ScOsPb2 (PBE, optimized geometry)
# energy relative to the elements	338.1	meV per atom
# E	-0.4341	Ry per atom
# magnetic moment	0.000	μB per formula unit
# ΔE to the lowest computed polymorph	303.2	meV/atom
data_ScOsPb2
_cell_length_a 3.4225
_cell_length_b 4.6571
_cell_length_c 5.5850
_cell_angle_alpha 90.00
_cell_angle_beta 96.71
_cell_angle_gamma 90.00
_space_group_name_H-M_alt 'P 1'
_space_group_IT_number 1
loop_
_space_group_symop_operation_xyz
'x,y,z'
loop_
_atom_site_label
_atom_site_type_symbol
_atom_site_fract_x
_atom_site_fract_y
_atom_site_fract_z
Sc1 Sc 0.0000 0.0000 0.0000
Os1 Os 0.5000 0.0000 0.5000
Pb1 Pb 0.3124 0.5000 0.7396
Pb2 Pb 0.6876 0.5000 0.2604


[6]
# ScOsPb2 (PBE, optimized geometry)
# energy relative to the elements	367.5	meV per atom
# E	-0.4319	Ry per atom
# magnetic moment	0.000	μB per formula unit
# ΔE to the lowest computed polymorph	332.6	meV/atom
data_ScOsPb2
_cell_length_a 4.2906
_cell_length_b 4.3615
_cell_length_c 4.5639
_cell_angle_alpha 90.00
_cell_angle_beta 90.00
_cell_angle_gamma 90.00
_space_group_name_H-M_alt 'P 1'
_space_group_IT_number 1
loop_
_space_group_symop_operation_xyz
'x,y,z'
loop_
_atom_site_label
_atom_site_type_symbol
_atom_site_fract_x
_atom_site_fract_y
_atom_site_fract_z
Sc1 Sc 0.0000 0.0000 0.0000
Os1 Os 0.0000 0.5000 0.5000
Pb1 Pb 0.5000 0.0000 0.5000
Pb2 Pb 0.5000 0.5000 0.0000